Computed, not measured: a relaxed TaCr2AgO8 crystal at the PBE with a Hubbard U level of DFT.

Summary:
The crystal system is tetragonal. The value obtained for the total energy is -173.05 eV for the cell shown.

Cell: 6.898 6.898 6.199 Å, 90.00 90.00 90.00°
Space group I-4m2 (No. 119)
Unique sites:
Ta: 0.000 0.000 0.000 x2
Cr: 0.000 0.000 0.500 x2
Cr: 0.000 0.500 0.750 x2
Ag: 0.000 0.500 0.250 x2
O: 0.000 0.181 0.319 x8
O: 0.000 0.278 0.908 x8